1.
## CrFeCl2 (PBE-GGA)

Data for CrFeCl2 after structural relaxation.

## Properties
Raw formation energy ... 67 kJ/mol of formula units
ρ ... 4.0 g/cm3
E_tot ... -5.27 eV/atom
Space-group type ... C2/m

a b c (Å): 5.767 5.205 3.362
angles (deg): 67.43 96.32 126.12
Each line ends with the local moment (μB).
Positions (direct):
1 Fe 0.500 0.500 0.000  2.96
2 Cr 0.000 0.500 0.500  3.90
3 Cl 0.000 0.000 0.000  0.04
4 Cl 0.500 0.000 0.500  0.04

=====

2.
## CrFeCl2 (PBE-GGA)

Data for CrFeCl2 after structural relaxation.

## Properties
Raw formation energy ... 68 kJ/mol of formula units
ρ ... 4.0 g/cm3
E_tot ... -5.27 eV/atom
Space-group type ... Pmmm

a b c (Å): 3.145 6.127 3.898
angles (deg): 90.00 90.00 90.00
Each line ends with the local moment (μB).
Positions (direct):
1 Fe 0.000 0.500 0.500  2.98
2 Cr 0.500 0.000 0.500  3.89
3 Cl 0.000 0.000 0.000  -0.01
4 Cl 0.500 0.500 0.000  0.09